1.
Density functional theory data (SCAN) for a PBEsol-optimized structure of Fe3GeOs.

Unit cell a=4.1805 b=4.1805 c=4.1805 alpha=90.00 beta=90.00 gamma=90.00
Last column: nearest neighbours and their distance in Å.
Fractional coordinates of all 5 atoms:
Fe1 0.0000 0.0000 0.5000  2 Ge 2.09
Fe2 0.0000 0.5000 0.0000  2 Ge 2.09
Fe3 0.5000 0.0000 0.0000  2 Ge 2.09
Ge1 0.0000 0.0000 0.0000  6 Fe 2.09
Os1 0.5000 0.5000 0.5000  12 Fe 2.96

uncorrected energy = -27.6996 eV per atom
formation enthalpy at 0 K = 132.3 kJ per mole of atoms

=====

2.
Density functional theory data (SCAN) for a PBEsol-optimized structure of Fe2GeP.

Unit cell a=3.9590 b=3.9590 c=3.9590 alpha=60.00 beta=60.00 gamma=60.00
Last column: nearest neighbours and their distance in Å.
Fractional coordinates of all 4 atoms:
Fe1 0.2500 0.2500 0.2500  4 Ge 2.42, 4 P 2.42
Fe2 0.7500 0.7500 0.7500  4 Ge 2.42, 4 P 2.42
Ge1 0.0000 0.0000 0.0000  8 Fe 2.42
P1 0.5000 0.5000 0.5000  8 Fe 2.42

uncorrected energy = -16.3122 eV per atom
formation enthalpy at 0 K = 12.0 kJ per mole of atoms

=====

3.
Density functional theory data (SCAN) for a PBEsol-optimized structure of Fe2GePb2.

Unit cell a=8.9441 b=8.9441 c=8.9441 alpha=158.21 beta=158.21 gamma=31.01
Last column: nearest neighbours and their distance in Å.
Fractional coordinates of all 5 atoms:
Fe1 0.2500 0.7500 0.5000  4 Fe 2.39
Fe2 0.7500 0.2500 0.5000  4 Fe 2.39
Ge1 0.0000 0.0000 0.0000  8 Pb 3.15, 4 Ge 3.38
Pb1 0.3811 0.3811 0.0000  4 Fe 2.82, 4 Ge 3.15
Pb2 0.6189 0.6189 0.0000  4 Fe 2.82, 4 Ge 3.15

uncorrected energy = -40.9019 eV per atom
formation enthalpy at 0 K = 46.3 kJ per mole of atoms

=====

4.
Density functional theory data (SCAN) for a PBEsol-optimized structure of FeGePb3.

Unit cell a=5.0117 b=5.0117 c=5.0117 alpha=90.00 beta=90.00 gamma=90.00
Last column: nearest neighbours and their distance in Å.
Fractional coordinates of all 5 atoms:
Fe1 0.0000 0.0000 0.0000  6 Pb 2.51
Ge1 0.5000 0.5000 0.5000  12 Pb 3.54
Pb1 0.0000 0.0000 0.5000  2 Fe 2.51
Pb2 0.0000 0.5000 0.0000  2 Fe 2.51
Pb3 0.5000 0.0000 0.0000  2 Fe 2.51

uncorrected energy = -52.3710 eV per atom
formation enthalpy at 0 K = 52.2 kJ per mole of atoms

=====

5.
Density functional theory data (SCAN) for a PBEsol-optimized structure of Fe3GePd.

Unit cell a=4.5392 b=4.5392 c=4.5392 alpha=90.00 beta=90.00 gamma=90.00
Last column: nearest neighbours and their distance in Å.
Fractional coordinates of all 5 atoms:
Fe1 0.0000 0.0000 0.5000  2 Pd 2.27
Fe2 0.0000 0.5000 0.0000  2 Pd 2.27
Fe3 0.5000 0.0000 0.0000  2 Pd 2.27
Ge1 0.5000 0.5000 0.5000  12 Fe 3.21
Pd1 0.0000 0.0000 0.0000  6 Fe 2.27

uncorrected energy = -20.1581 eV per atom
formation enthalpy at 0 K = 105.4 kJ per mole of atoms

=====

6.
Density functional theory data (SCAN) for a PBEsol-optimized structure of PrFe2Ge2.

Unit cell a=5.7343 b=5.7343 c=5.7343 alpha=138.70 beta=138.70 gamma=59.83
Last column: nearest neighbours and their distance in Å.
Fractional coordinates of all 5 atoms:
Pr1 0.0000 0.0000 0.0000  8 Ge 3.17, 8 Fe 3.20
Fe1 0.2500 0.7500 0.5000  4 Ge 2.31
Fe2 0.7500 0.2500 0.5000  4 Ge 2.31
Ge1 0.3628 0.3628 0.0000  4 Fe 2.31
Ge2 0.6372 0.6372 0.0000  4 Fe 2.31

uncorrected energy = -23.9361 eV per atom
formation enthalpy at 0 K = -37.1 kJ per mole of atoms